Below is a relaxed SmTmSc5 crystal, with properties calculated at the PBE level.

Computed properties:
DFT formation energy, eV per atom: 0.36
Volume, A^3/atom: 28.32

Cell and atoms, written as CIF:
```
data_SmTmSc5
_chemical_formula_sum 'Sm1 Tm1 Sc5'
_cell_length_a 5.0974
_cell_length_b 5.0974
_cell_length_c 7.6285
_cell_angle_alpha 90.00
_cell_angle_beta 90.00
_cell_angle_gamma 90.00
_symmetry_space_group_name_H-M 'P 4/m m m'
_symmetry_Int_Tables_number 123
_symmetry_space_group_name_Hall '-P 4 2'
loop_
_atom_site_label
_atom_site_type_symbol
_atom_site_fract_x
_atom_site_fract_y
_atom_site_fract_z
Sm1 Sm 0.0000 0.0000 0.0000
Tm1 Tm 0.5000 0.5000 0.5000
Sc1 Sc 0.0000 0.5000 0.2757
Sc2 Sc 0.5000 0.5000 0.0000
```


Below is a relaxed Tb2HoTm3Bi6 crystal, with properties calculated at the PBE level.

Computed properties:
DFT formation energy, eV per atom: -0.82
Volume, A^3/atom: 31.24

Cell and atoms, written as CIF:
```
data_Tb2HoTm3Bi6
_chemical_formula_sum 'Tb4 Ho2 Tm6 Bi12'
_cell_length_a 19.4101
_cell_length_b 4.4532
_cell_length_c 8.9099
_cell_angle_alpha 90.00
_cell_angle_beta 103.19
_cell_angle_gamma 90.00
_symmetry_space_group_name_H-M 'C 1 2/m 1'
_symmetry_Int_Tables_number 12
loop_
_symmetry_equiv_pos_as_xyz
'x,y,z'
'-x,-y,-z'
'-x,y,-z'
'x,-y,z'
'x+1/2,y+1/2,z'
'-x+1/2,-y+1/2,-z'
'-x+1/2,y+1/2,-z'
'x+1/2,-y+1/2,z'
loop_
_atom_site_label
_atom_site_type_symbol
_atom_site_fract_x
_atom_site_fract_y
_atom_site_fract_z
Tb1 Tb 0.1665 0.0000 0.3330
Ho1 Ho 0.0000 0.5000 0.0000
Tm1 Tm 0.0000 0.5000 0.5000
Tm2 Tm 0.1671 0.0000 0.8333
Bi1 Bi 0.0012 0.0000 0.7492
Bi2 Bi 0.1657 0.5000 0.5856
Bi3 Bi 0.1670 0.5000 0.0803
```


Below is a relaxed Ac2LaAg crystal, with properties calculated at the PBE level.

Computed properties:
DFT formation energy, eV per atom: 0.29
ΔE to the lowest computed polymorph, kJ per mole of atoms: 38.4
Volume, A^3/atom: 39.44

Cell and atoms, written as CIF:
```
data_Ac2LaAg
_chemical_formula_sum 'Ac6 La3 Ag3'
_cell_length_a 3.8381
_cell_length_b 3.8381
_cell_length_c 37.0991
_cell_angle_alpha 90.00
_cell_angle_beta 90.00
_cell_angle_gamma 120.00
_symmetry_space_group_name_H-M 'R -3 m'
_symmetry_Int_Tables_number 166
_symmetry_space_group_name_Hall '-R 3 2"'
loop_
_atom_site_label
_atom_site_type_symbol
_atom_site_fract_x
_atom_site_fract_y
_atom_site_fract_z
Ac1 Ac 0.0000 0.0000 0.0842
La1 La 0.0000 0.0000 0.5000
Ag1 Ag 0.0000 0.0000 0.0000
```


Short version: raw total energy = -5.472 -5.035 -3.707 eV per atom, in the order given.